Computed, not measured: crystalline Pm6NdEr at its relaxed geometry at the PBE level of DFT.

Lattice parameters (Å, degrees): 5.141 5.141 10.272 90.00 90.00 90.00
Fractional coordinates of all 8 atoms:
Er (0.000, 0.000, 0.500)
Pm (0.500, 0.000, 0.253)
Pm (0.500, 0.500, 0.500)
Pm (0.000, 0.500, 0.747)
Pm (0.000, 0.500, 0.253)
Pm (0.500, 0.500, 0.000)
Pm (0.500, 0.000, 0.747)
Nd (0.000, 0.000, 0.000)


Computed, not measured: crystalline Pm2Nd2Er7 at its relaxed geometry at the PBE level of DFT.

Lattice parameters (Å, degrees): 6.074 8.077 8.077 91.74 73.61 73.61
Fractional coordinates of all 11 atoms:
Er (0.176, 0.065, 0.589)
Er (0.000, 0.000, 0.000)
Er (0.576, 0.767, 0.767)
Er (0.824, 0.935, 0.411)
Er (0.424, 0.233, 0.233)
Er (0.824, 0.411, 0.935)
Er (0.176, 0.589, 0.065)
Pm (0.500, 0.790, 0.210)
Pm (0.500, 0.210, 0.790)
Nd (0.189, 0.598, 0.598)
Nd (0.811, 0.402, 0.402)


| no. | DFT formation energy (meV per atom) | total DFT energy (no corrections) (eV per cell) |
| --- | --- | --- |
| 1 | 18 | -37.7 |
| 2 | 151 | -49.3 |